{"formula": "GaCuSn", "functional": "PBE", "state": "relaxed", "cell": [[-2.593, 0.336, 1.740], [-1.768, -0.700, -2.500], [2.403, -5.435, 1.796]], "species": ["Ga", "Sn", "Cu"], "fractional_positions": [[0.305, 0.305, 0.610], [0.014, 0.014, 0.028], [0.681, 0.681, 0.362]], "sg": "I4mm (107)", "formation_energy_ev_per_atom": 0.11, "total_magnetization_mub_per_atom": 0.000, "e_tot_ev_per_cell": -10.78, "density_g_cm3": 7.3}